Record 1
# NaLaGaAg

Crystalline NaLaGaAg at its relaxed geometry (PBE, the Alexandria database).

```
NaLaGaAg
1.0
0.000 3.681 3.681
3.681 0.000 3.681
3.681 3.681 0.000
Na La Ga Ag
1 1 1 1
Cartesian
0.000 0.000 0.000
3.681 3.681 3.681
1.841 1.841 1.841
5.522 5.522 5.522
```

Calculated values
- DOS at the Fermi energy: 3.28 states/eV per cell
- Calculated formation energy: -0.223 eV per atom

***

Record 2
# Ac3GaN

Crystalline Ac3GaN at its relaxed geometry (PBE, the Alexandria database).

```
Ac3GaN
1.0
5.298 0.000 0.000
0.000 5.298 0.000
0.000 0.000 5.298
Ac Ga N
3 1 1
Cartesian
0.000 0.000 2.649
0.000 2.649 0.000
2.649 0.000 0.000
2.649 2.649 2.649
0.000 0.000 0.000
```

Calculated values
- Energy relative to the elements, uncorrected: -3.06 eV/f.u.
- DOS at the Fermi energy: 3.49 states/eV per cell

***

Record 3
# Mg2CrOs

Crystalline Mg2CrOs at its relaxed geometry (PBE, the Alexandria database).

```
Mg2CrOs
1.0
-2.186 2.186 3.085
2.186 -2.186 3.085
2.186 2.186 -3.085
Mg Cr Os
2 1 1
Cartesian
0.000 0.000 0.000
0.000 2.186 1.542
0.000 0.000 3.085
2.186 0.000 1.542
```

Calculated values
- DOS at the Fermi energy: 0.96 states/eV per cell
- Calculated formation energy: 0.209 eV per atom
- Excess energy over the best structure of this formula in the dataset: 123 meV per atom